! HgPt2W (GGA-PBEsol, relaxed); values from VASP
! - Electronic total energy: -6.6605 eV/atom
! - SG: Pmmm
! - Energy of formation from the pure elements: 1.7 eV/f.u.
! - Volume: 16.39 Å³/atom
&SYSTEM
  ibrav = 0, nat = 4, ntyp = 3
/
ATOMIC_SPECIES
Hg 200.59 Hg.upf
W 183.84 W.upf
Pt 195.08 Pt.upf
CELL_PARAMETERS angstrom
2.792 0.000 0.000
0.000 4.794 0.000
0.000 0.000 4.898
ATOMIC_POSITIONS crystal
Hg 0.000 0.500 0.500
W 0.500 0.500 0.000
Pt 0.500 0.000 0.500
Pt 0.000 0.000 0.000

! Zr2P2C (GGA-PBEsol, relaxed); values from VASP
! - Electronic total energy: -8.1961 eV/atom
! - SG: I4/mmm
! - Energy of formation from the pure elements: -1.6 eV/f.u.
! - Volume: 14.46 Å³/atom
&SYSTEM
  ibrav = 0, nat = 5, ntyp = 3
/
ATOMIC_SPECIES
Zr 91.22 Zr.upf
C 12.01 C.upf
P 30.97 P.upf
CELL_PARAMETERS angstrom
-1.281 2.910 0.618
-1.655 -1.256 2.485
6.728 0.593 2.670
ATOMIC_POSITIONS crystal
Zr 0.598 0.598 0.196
Zr 0.402 0.402 0.804
C 0.000 0.000 0.000
P 0.750 0.250 0.500
P 0.250 0.750 0.500

! Mg4Re (GGA-PBEsol, relaxed); values from VASP
! - Electronic total energy: -3.3740 eV/atom
! - SG: Im-3m
! - Energy of formation from the pure elements: 3.3 eV/f.u.
! - Volume: 23.82 Å³/atom
&SYSTEM
  ibrav = 0, nat = 5, ntyp = 2
/
ATOMIC_SPECIES
Mg 24.30 Mg.upf
Re 186.21 Re.upf
CELL_PARAMETERS angstrom
-0.104 5.083 1.722
-4.492 -2.504 1.540
4.257 -2.512 2.094
ATOMIC_POSITIONS crystal
Mg 0.500 0.500 0.500
Mg 0.000 0.500 0.000
Mg 0.000 0.000 0.500
Mg 0.500 0.000 0.000
Re 0.000 0.000 0.000

! Te2Cl (GGA-PBEsol, relaxed); values from VASP
! - ΔE_f (raw): -0.1206 eV/atom
! - Electronic total energy: -3.1407 eV/atom
! - SG: P-3m1
! - Volume: 28.67 Å³/atom
&SYSTEM
  ibrav = 0, nat = 3, ntyp = 2
/
ATOMIC_SPECIES
Te 127.60 Te.upf
Cl 35.45 Cl.upf
CELL_PARAMETERS angstrom
4.591 0.000 0.000
-2.295 3.976 0.000
0.000 0.000 4.712
ATOMIC_POSITIONS crystal
Te 0.667 0.333 0.638
Te 0.333 0.667 0.362
Cl 0.000 0.000 0.000

! CrAs3W (GGA-PBEsol, relaxed); values from VASP
! - Electronic total energy: -6.7137 eV/atom
! - SG: Pm-3m
! - Energy of formation from the pure elements: 5.8 eV/f.u.
! - Volume: 18.83 Å³/atom
&SYSTEM
  ibrav = 0, nat = 5, ntyp = 3
/
ATOMIC_SPECIES
As 74.92 As.upf
W 183.84 W.upf
Cr 52.00 Cr.upf
CELL_PARAMETERS angstrom
4.549 0.000 0.000
0.000 4.549 0.000
0.000 0.000 4.549
ATOMIC_POSITIONS crystal
As 0.000 0.500 0.000
As 0.000 0.000 0.500
As 0.500 0.000 0.000
W 0.500 0.500 0.500
Cr 0.000 0.000 0.000

! Ca3BCl (GGA-PBEsol, relaxed); values from VASP
! - ΔE_f (raw): -0.2903 eV/atom
! - Electronic total energy: -3.3751 eV/atom
! - SG: Pm-3m
! - Volume: 28.67 Å³/atom
&SYSTEM
  ibrav = 0, nat = 5, ntyp = 3
/
ATOMIC_SPECIES
Ca 40.08 Ca.upf
Cl 35.45 Cl.upf
B 10.81 B.upf
CELL_PARAMETERS angstrom
5.234 0.000 0.000
0.000 5.234 0.000
0.000 0.000 5.234
ATOMIC_POSITIONS crystal
Ca 0.500 0.000 0.000
Ca 0.000 0.000 0.500
Ca 0.000 0.500 0.000
Cl 0.500 0.500 0.500
B 0.000 0.000 0.000

! Ti5VP6O24 (GGA-PBEsol, relaxed); values from VASP
! - ΔE_f (raw): -2.4728 eV/atom
! - Electronic total energy: -8.3610 eV/atom
! - SG: R3
! - Volume: 11.95 Å³/atom
&SYSTEM
  ibrav = 0, nat = 36, ntyp = 4
/
ATOMIC_SPECIES
O 16.00 O.upf
Ti 47.87 Ti.upf
P 30.97 P.upf
V 50.94 V.upf
CELL_PARAMETERS angstrom
-0.353 -0.422 -8.239
0.521 -7.548 -3.309
-6.954 -3.079 -3.217
ATOMIC_POSITIONS crystal
O 0.496 0.329 0.117
O 0.402 0.759 0.556
O 0.117 0.496 0.329
O 0.947 0.739 0.101
O 0.506 0.670 0.885
O 0.556 0.402 0.759
O 0.739 0.101 0.947
O 0.602 0.242 0.446
O 0.051 0.256 0.899
O 0.178 0.998 0.382
O 0.997 0.612 0.832
O 0.382 0.178 0.998
O 0.446 0.602 0.242
O 0.101 0.947 0.739
O 0.256 0.899 0.051
O 0.998 0.382 0.178
O 0.612 0.832 0.997
O 0.670 0.885 0.506
O 0.242 0.446 0.602
O 0.832 0.997 0.612
O 0.885 0.506 0.670
O 0.899 0.051 0.256
O 0.759 0.556 0.402
O 0.329 0.117 0.496
Ti 0.996 0.996 0.996
Ti 0.864 0.864 0.864
Ti 0.501 0.501 0.501
Ti 0.638 0.638 0.638
Ti 0.364 0.364 0.364
P 0.251 0.962 0.535
P 0.753 0.039 0.459
P 0.962 0.535 0.251
P 0.459 0.753 0.039
P 0.535 0.251 0.962
P 0.039 0.459 0.753
V 0.136 0.136 0.136

! EuCo2P2 (GGA-PBEsol, relaxed); values from VASP
! - Electronic total energy: -8.5181 eV/atom
! - SG: I4/mmm
! - Energy of formation from the pure elements: -5.0 eV/f.u.
! - Volume: 14.41 Å³/atom
&SYSTEM
  ibrav = 0, nat = 5, ntyp = 3
/
ATOMIC_SPECIES
Co 58.93 Co.upf
P 30.97 P.upf
Eu 151.96 Eu.upf
CELL_PARAMETERS angstrom
3.763 0.000 0.000
0.000 3.763 0.000
-1.882 -1.882 5.088
ATOMIC_POSITIONS crystal
Co 0.250 0.750 0.500
Co 0.750 0.250 0.500
P 0.638 0.638 0.276
P 0.362 0.362 0.724
Eu 0.000 0.000 0.000

! ZrIn2Pt (GGA-PBEsol, relaxed); values from VASP
! - Electronic total energy: -6.0129 eV/atom
! - SG: P4/mmm
! - Energy of formation from the pure elements: -2.0 eV/f.u.
! - Volume: 19.17 Å³/atom
&SYSTEM
  ibrav = 0, nat = 4, ntyp = 3
/
ATOMIC_SPECIES
In 114.82 In.upf
Pt 195.08 Pt.upf
Zr 91.22 Zr.upf
CELL_PARAMETERS angstrom
-3.065 2.902 -0.541
-0.770 -0.034 4.175
2.842 3.105 0.549
ATOMIC_POSITIONS crystal
In 0.000 0.500 0.000
In 0.000 0.000 0.500
Pt 0.500 0.500 0.500
Zr 0.500 0.000 0.000

! BeHgAu2 (GGA-PBEsol, relaxed); values from VASP
! - Electronic total energy: -3.1898 eV/atom
! - SG: P2/m
! - Energy of formation from the pure elements: -0.3 eV/f.u.
! - Volume: 15.75 Å³/atom
&SYSTEM
  ibrav = 0, nat = 4, ntyp = 3
/
ATOMIC_SPECIES
Au 196.97 Au.upf
Hg 200.59 Hg.upf
Be 9.01 Be.upf
CELL_PARAMETERS angstrom
-2.797 0.604 -0.550
-0.808 -1.715 2.220
0.626 5.731 4.655
ATOMIC_POSITIONS crystal
Au 0.025 0.000 0.693
Au 0.975 0.000 0.307
Hg 0.500 0.500 0.000
Be 0.500 0.500 0.500